## BaCaMn2O5 (PBE with a Hubbard U)

Data for a relaxed BaCaMn2O5 crystal.

abc: 3.943 3.943 7.691
angles: 90.00 90.00 90.00
Site moments in Bohr magnetons follow the coordinates.
Atoms (fractional coordinates):
Ba 0.000 0.000 0.500  0.00
O 0.500 0.000 0.198  -0.06
O 0.500 0.500 0.500  0.01
O 0.000 0.500 0.802  -0.06
O 0.000 0.500 0.198  -0.06
O 0.500 0.000 0.802  -0.06
Ca 0.000 0.000 0.000  0.01
Mn 0.500 0.500 0.237  3.96
Mn 0.500 0.500 0.763  3.96

## Properties
The value obtained for the total energy is -63.12 eV for the cell shown.